DFT (PBE) results for an optimized crystal structure of RuPtBr2.

## Properties
SG	No. 12
DFT total energy	-3.847	eV/atom
Fermi-level density of states	3.987	states/eV per cell
raw formation energy	0.818	eV/atom
energy above the most stable polymorph in this dataset	663	meV per atom
M_tot	0.5147	μB per atom

abc: 5.2826 5.2826 3.2548
angles: 102.42 102.42 108.07
Atoms (fractional coordinates):
Ru: 0.0000 0.0000 0.0000
Pt: 0.5000 0.5000 0.0000
Br: 0.0000 0.5000 0.0000
Br: 0.5000 0.0000 0.0000